1.
Entry from the Alexandria database: CrOsC2 after structural relaxation (GGA-PBE).

Unit cell a=5.218 b=5.218 c=5.218 alpha=90.00 beta=90.00 gamma=90.00
Fractional coordinates of all 16 atoms:
1 Cr 0.000 0.000 0.000
2 Cr 0.000 0.500 0.500
3 Cr 0.500 0.000 0.500
4 Cr 0.500 0.500 0.000
5 Os 0.000 0.000 0.500
6 Os 0.000 0.500 0.000
7 Os 0.500 0.000 0.000
8 Os 0.500 0.500 0.500
9 C 0.250 0.250 0.250
10 C 0.250 0.250 0.750
11 C 0.250 0.750 0.250
12 C 0.250 0.750 0.750
13 C 0.750 0.250 0.250
14 C 0.750 0.250 0.750
15 C 0.750 0.750 0.250
16 C 0.750 0.750 0.750

Results
The space-group type is No. 225. For the energy of formation, the calculation gives 1.003 eV per atom.

***

2.
Entry from the Alexandria database: LiCuW after structural relaxation (GGA-PBE).

Unit cell a=5.440 b=3.749 c=8.072 alpha=90.00 beta=90.00 gamma=90.00
Fractional coordinates of all 12 atoms:
1 Li 0.127 0.250 0.238
2 Li 0.373 0.750 0.738
3 Li 0.627 0.250 0.262
4 Li 0.873 0.750 0.762
5 Cu 0.111 0.250 0.910
6 Cu 0.389 0.750 0.410
7 Cu 0.611 0.250 0.590
8 Cu 0.889 0.750 0.090
9 W 0.114 0.250 0.572
10 W 0.386 0.750 0.072
11 W 0.614 0.250 0.928
12 W 0.886 0.750 0.428

Results
The space-group type is No. 62. For the energy of formation, the calculation gives 0.383 eV per atom.

***

The records above give, respectively, relative energy among the computed polymorphs values of 360.0; 42.8 meV per atom.